8
Lattice="4.2240 0.0000 0.0000 0.0000 4.2240 0.0000 0.0000 0.0000 10.9521" Properties=species:S:1:pos:R:3 comment="CsBe2Cd2As3 | OQMD | PBE | relaxed" spacegroup="No. 115" de_polymorph_ev_per_atom=0.100 pbc="T T T"
Cs 0.0000 0.0000 0.0000
Be 0.0000 2.1120 7.3692
Be 2.1120 0.0000 3.5829
Cd 0.0000 2.1120 3.8790
Cd 2.1120 0.0000 7.0731
As 0.0000 0.0000 5.4760
As 2.1120 2.1120 2.3438
As 2.1120 2.1120 8.6083